[1]
The following is a DFT calculation (PBE-GGA) of an optimized crystal structure of Tl3CuB.

POSCAR file:
```
Tl3CuB
1.0
4.9512 0.0000 0.0000
0.0000 4.9512 0.0000
0.0000 0.0000 4.9512
Tl Cu B
3 1 1
Direct
0.0000 0.5000 0.0000 Tl
0.0000 0.0000 0.5000 Tl
0.5000 0.0000 0.0000 Tl
0.5000 0.5000 0.5000 Cu
0.0000 0.0000 0.0000 B
```

Properties
DFT total energy ... -2.742 eV per atom
Relative energy among the computed polymorphs ... 0 meV per atom
Energy of formation from the pure elements ... 0.8327 eV per atom
Magnetic moment ... 0.00 μB/f.u.


[2]
The following is a DFT calculation (PBE-GGA) of an optimized crystal structure of TlCuB2.

POSCAR file:
```
TlCuB2
1.0
3.8151 0.0000 0.0000
0.0000 3.8151 0.0000
1.9076 1.9076 7.4034
Tl B Cu
2 4 2
Direct
0.0000 0.0000 0.0000 Tl
0.7500 0.2500 0.5000 Tl
0.3750 0.6246 0.7500 B
0.3746 0.6250 0.2500 B
0.8750 0.6254 0.7500 B
0.3754 0.1250 0.2500 B
0.5000 0.5000 0.0000 Cu
0.2500 0.7500 0.5000 Cu
```

Properties
DFT total energy ... -4.139 eV per atom
Relative energy among the computed polymorphs ... 0 meV per atom
Energy of formation from the pure elements ... 0.8153 eV per atom
Magnetic moment ... 0.00 μB/f.u.


[3]
The following is a DFT calculation (PBE-GGA) of an optimized crystal structure of TlCuB2.

POSCAR file:
```
TlCuB2
1.0
0.0000 3.0097 3.0097
3.0097 0.0000 3.0097
3.0097 3.0097 0.0000
Cu B Tl
1 2 1
Direct
0.0000 0.0000 0.0000 Cu
0.7500 0.7500 0.7500 B
0.2500 0.2500 0.2500 B
0.5000 0.5000 0.5000 Tl
```

Properties
DFT total energy ... -3.278 eV per atom
Relative energy among the computed polymorphs ... 861 meV per atom
Energy of formation from the pure elements ... 1.6758 eV per atom
Magnetic moment ... 0.00 μB/f.u.


[4]
The following is a DFT calculation (PBE-GGA) of an optimized crystal structure of TlCuB.

POSCAR file:
```
TlCuB
1.0
3.8858 0.0000 0.0181
0.0000 12.3211 0.0000
-2.1488 0.0000 4.9826
Tl B Cu
4 4 4
Direct
0.0000 0.8327 0.0000 Tl
0.0000 0.1673 0.0000 Tl
0.0000 0.3327 0.5000 Tl
0.0000 0.6673 0.5000 Tl
0.4264 0.0000 0.3418 B
0.5736 0.0000 0.6582 B
0.4264 0.5000 0.8418 B
0.5736 0.5000 0.1582 B
0.5000 0.5000 0.5000 Cu
0.0000 0.0000 0.5000 Cu
0.5000 0.0000 0.0000 Cu
0.0000 0.5000 0.0000 Cu
```

Properties
DFT total energy ... -3.951 eV per atom
Relative energy among the computed polymorphs ... 176 meV per atom
Energy of formation from the pure elements ... 0.4291 eV per atom
Magnetic moment ... 0.00 μB/f.u.


[5]
The following is a DFT calculation (PBE-GGA) of an optimized crystal structure of TlCuB.

POSCAR file:
```
TlCuB
1.0
-0.9016 2.1904 -2.8513
0.7580 -2.3505 -2.0454
-7.6881 -3.9756 1.7195
B Cu Tl
2 2 2
Direct
0.1131 0.7495 0.9782 B
0.1131 0.2505 0.9782 B
0.6589 0.5000 0.0722 Cu
0.2278 0.0000 0.2122 Cu
0.4791 0.0000 0.7145 Tl
0.8270 0.5000 0.4101 Tl
```

Properties
DFT total energy ... -4.092 eV per atom
Relative energy among the computed polymorphs ... 35 meV per atom
Energy of formation from the pure elements ... 0.2880 eV per atom
Magnetic moment ... 0.00 μB/f.u.


[6]
The following is a DFT calculation (PBE-GGA) of an optimized crystal structure of TlCuB.

POSCAR file:
```
TlCuB
1.0
3.2909 0.0055 0.0380
1.6182 3.5883 0.0318
1.6667 0.6319 8.9219
B Tl Cu
2 2 2
Direct
0.7495 0.4999 0.0005 B
0.2505 0.5001 0.9995 B
0.4041 0.3295 0.3364 Tl
0.5959 0.6705 0.6636 Tl
0.2033 0.9780 0.1064 Cu
0.7967 0.0220 0.8936 Cu
```

Properties
DFT total energy ... -4.127 eV per atom
Relative energy among the computed polymorphs ... 0 meV per atom
Energy of formation from the pure elements ... 0.2532 eV per atom
Magnetic moment ... 0.00 μB/f.u.


[7]
The following is a DFT calculation (PBE-GGA) of an optimized crystal structure of TlCuB.

POSCAR file:
```
TlCuB
1.0
-0.3658 4.7753 7.1950
-4.7475 -1.1113 0.4962
1.5002 -6.0838 0.7274
B Cu Tl
4 4 4
Direct
0.0000 0.2149 0.5000 B
0.0000 0.8831 0.5000 B
0.0000 0.7149 0.0000 B
0.0000 0.3831 0.0000 B
0.0000 0.5472 0.6947 Cu
0.0000 0.5472 0.3053 Cu
0.0000 0.0472 0.8053 Cu
0.0000 0.0472 0.1947 Cu
0.6496 0.8326 0.3036 Tl
0.6496 0.3326 0.8036 Tl
0.3504 0.3326 0.1964 Tl
0.3504 0.8326 0.6964 Tl
```

Properties
DFT total energy ... -4.076 eV per atom
Relative energy among the computed polymorphs ... 51 meV per atom
Energy of formation from the pure elements ... 0.3043 eV per atom
Magnetic moment ... 0.00 μB/f.u.


[8]
The following is a DFT calculation (PBE-GGA) of an optimized crystal structure of Tl2CuB.

POSCAR file:
```
Tl2CuB
1.0
-1.2126 -3.6886 4.2057
3.9336 -3.6220 -2.0426
5.4857 -1.1066 4.5063
Tl Cu B
4 2 2
Direct
0.8750 0.8065 0.7500 Tl
0.1935 0.6250 0.2500 Tl
0.5565 0.1250 0.2500 Tl
0.3750 0.4435 0.7500 Tl
0.0000 0.0000 0.0000 Cu
0.7500 0.2500 0.5000 Cu
0.2500 0.7500 0.5000 B
0.5000 0.5000 0.0000 B
```

Properties
DFT total energy ... -2.894 eV per atom
Relative energy among the computed polymorphs ... 0 meV per atom
Energy of formation from the pure elements ... 0.9823 eV per atom
Magnetic moment ... 0.00 μB/f.u.